[1]
This record from the Alexandria database describes a geometry-optimized BaPmMnTe4 structure. The functional is PBE.

```
data_BaPmMnTe4
_cell_length_a 7.8462
_cell_length_b 6.5397
_cell_length_c 9.6966
_cell_angle_alpha 90.00
_cell_angle_beta 107.30
_cell_angle_gamma 90.00
_symmetry_space_group_name_H-M 'P 1 21/m 1'
_symmetry_Int_Tables_number 11
_symmetry_space_group_name_Hall '-P 2yb'
loop_
_atom_site_label
_atom_site_type_symbol
_atom_site_fract_x
_atom_site_fract_y
_atom_site_fract_z
Ba1 Ba 0.2489 0.2500 0.4395
Pm1 Pm 0.2343 0.2500 0.9390
Mn1 Mn 0.2384 0.7500 0.1781
Te1 Te 0.0642 0.7500 0.3719
Te2 Te 0.0685 0.7500 0.8995
Te3 Te 0.4834 0.5081 0.7769
```

E_form (uncorrected) = -102.2 kJ per mole of atoms
total DFT energy (no corrections) = -5.117 eV per atom


[2]
This record from the Alexandria database describes a geometry-optimized Ba2PmMnTe5 structure. The functional is PBE.

```
data_Ba2PmMnTe5
_cell_length_a 4.6103
_cell_length_b 20.1298
_cell_length_c 14.2797
_cell_angle_alpha 90.00
_cell_angle_beta 90.00
_cell_angle_gamma 90.00
_symmetry_space_group_name_H-M 'C m c 21'
_symmetry_Int_Tables_number 36
_symmetry_space_group_name_Hall 'C 2c -2'
loop_
_atom_site_label
_atom_site_type_symbol
_atom_site_fract_x
_atom_site_fract_y
_atom_site_fract_z
Ba1 Ba 0.0000 0.1185 0.0000
Ba2 Ba 0.0000 0.1267 0.3551
Pm1 Pm 0.0000 0.1964 0.6912
Mn1 Mn 0.0000 0.4381 0.0838
Te1 Te 0.0000 0.0341 0.6729
Te2 Te 0.0000 0.3066 0.3389
Te3 Te 0.0000 0.3097 0.0333
Te4 Te 0.0000 0.3484 0.6759
Te5 Te 0.0000 0.4978 0.9220
```

E_form (uncorrected) = -117.8 kJ per mole of atoms
total DFT energy (no corrections) = -4.941 eV per atom


[3]
This record from the Alexandria database describes a geometry-optimized Ba2PrMnTe5 structure. The functional is PBE.

```
data_Ba2PrMnTe5
_cell_length_a 4.6360
_cell_length_b 20.1836
_cell_length_c 14.3236
_cell_angle_alpha 90.00
_cell_angle_beta 90.00
_cell_angle_gamma 90.00
_symmetry_space_group_name_H-M 'C m c 21'
_symmetry_Int_Tables_number 36
_symmetry_space_group_name_Hall 'C 2c -2'
loop_
_atom_site_label
_atom_site_type_symbol
_atom_site_fract_x
_atom_site_fract_y
_atom_site_fract_z
Ba1 Ba 0.0000 0.1184 0.0000
Ba2 Ba 0.0000 0.1256 0.3538
Pr1 Pr 0.0000 0.1963 0.6905
Mn1 Mn 0.0000 0.4391 0.0815
Te1 Te 0.0000 0.0327 0.6691
Te2 Te 0.0000 0.3062 0.3404
Te3 Te 0.0000 0.3110 0.0304
Te4 Te 0.0000 0.3498 0.6753
Te5 Te 0.0000 0.4987 0.9202
```

E_form (uncorrected) = -117.8 kJ per mole of atoms
total DFT energy (no corrections) = -4.943 eV per atom


[4]
This record from the Alexandria database describes a geometry-optimized Ba4MnPt structure. The functional is PBE.

```
data_Ba4MnPt
_cell_length_a 9.8378
_cell_length_b 9.8378
_cell_length_c 9.8378
_cell_angle_alpha 90.00
_cell_angle_beta 90.00
_cell_angle_gamma 90.00
_symmetry_space_group_name_H-M 'F -4 3 m'
_symmetry_Int_Tables_number 216
_symmetry_space_group_name_Hall 'F -4 2 3'
loop_
_atom_site_label
_atom_site_type_symbol
_atom_site_fract_x
_atom_site_fract_y
_atom_site_fract_z
Ba1 Ba 0.1241 0.1241 0.3759
Mn1 Mn 0.0000 0.0000 0.0000
Pt1 Pt 0.2500 0.2500 0.7500
```

total DFT energy (no corrections) = -2.960 eV per atom
formation energy from the elements = 0.857 eV/atom


[5]
This record from the Alexandria database describes a geometry-optimized Ba2MnPt structure. The functional is PBE.

```
data_Ba2MnPt
_cell_length_a 8.9199
_cell_length_b 8.9199
_cell_length_c 6.8839
_cell_angle_alpha 90.00
_cell_angle_beta 90.00
_cell_angle_gamma 90.00
_symmetry_space_group_name_H-M 'I -4 2 d'
_symmetry_Int_Tables_number 122
_symmetry_space_group_name_Hall 'I -4 2bw'
loop_
_atom_site_label
_atom_site_type_symbol
_atom_site_fract_x
_atom_site_fract_y
_atom_site_fract_z
Ba1 Ba 0.2084 0.2500 0.1250
Mn1 Mn 0.0000 0.0000 0.5000
Pt1 Pt 0.0000 0.0000 0.0000
```

total DFT energy (no corrections) = -4.507 eV per atom
formation energy from the elements = 0.257 eV/atom


[6]
This record from the Alexandria database describes a geometry-optimized BaMn3Pt structure. The functional is PBE.

```
data_BaMn3Pt
_cell_length_a 5.0423
_cell_length_b 5.0423
_cell_length_c 5.0423
_cell_angle_alpha 90.00
_cell_angle_beta 90.00
_cell_angle_gamma 90.00
_symmetry_space_group_name_H-M 'P m -3 m'
_symmetry_Int_Tables_number 221
_symmetry_space_group_name_Hall '-P 4 2 3'
loop_
_atom_site_label
_atom_site_type_symbol
_atom_site_fract_x
_atom_site_fract_y
_atom_site_fract_z
Ba1 Ba 0.0000 0.0000 0.0000
Mn1 Mn 0.0000 0.5000 0.5000
Pt1 Pt 0.5000 0.5000 0.5000
```

total DFT energy (no corrections) = -6.742 eV per atom
formation energy from the elements = 0.352 eV/atom


[7]
This record from the Alexandria database describes a geometry-optimized Ba2MnPt structure. The functional is PBE.

```
data_Ba2MnPt
_cell_length_a 5.5082
_cell_length_b 5.5082
_cell_length_c 4.0351
_cell_angle_alpha 90.00
_cell_angle_beta 90.00
_cell_angle_gamma 90.00
_symmetry_space_group_name_H-M 'P 4/m m m'
_symmetry_Int_Tables_number 123
_symmetry_space_group_name_Hall '-P 4 2'
loop_
_atom_site_label
_atom_site_type_symbol
_atom_site_fract_x
_atom_site_fract_y
_atom_site_fract_z
Ba1 Ba 0.0000 0.5000 0.0000
Mn1 Mn 0.0000 0.0000 0.5000
Pt1 Pt 0.5000 0.5000 0.5000
```

total DFT energy (no corrections) = -4.711 eV per atom
formation energy from the elements = 0.053 eV/atom


[8]
This record from the Alexandria database describes a geometry-optimized Ba2MnPt structure. The functional is PBE.

```
data_Ba2MnPt
_cell_length_a 3.7281
_cell_length_b 3.7281
_cell_length_c 9.4448
_cell_angle_alpha 90.00
_cell_angle_beta 90.00
_cell_angle_gamma 90.00
_symmetry_space_group_name_H-M 'P 4 m m'
_symmetry_Int_Tables_number 99
_symmetry_space_group_name_Hall 'P 4 -2'
loop_
_atom_site_label
_atom_site_type_symbol
_atom_site_fract_x
_atom_site_fract_y
_atom_site_fract_z
Ba1 Ba 0.0000 0.0000 0.0000
Ba2 Ba 0.5000 0.5000 0.4199
Mn1 Mn 0.0000 0.0000 0.6753
Pt1 Pt 0.5000 0.5000 0.7529
```

total DFT energy (no corrections) = -4.789 eV per atom
formation energy from the elements = -0.025 eV/atom


[9]
This record from the Alexandria database describes a geometry-optimized BaMnPt structure. The functional is PBE.

```
data_BaMnPt
_cell_length_a 7.0856
_cell_length_b 7.0856
_cell_length_c 7.0856
_cell_angle_alpha 90.00
_cell_angle_beta 90.00
_cell_angle_gamma 90.00
_symmetry_space_group_name_H-M 'F -4 3 m'
_symmetry_Int_Tables_number 216
_symmetry_space_group_name_Hall 'F -4 2 3'
loop_
_atom_site_label
_atom_site_type_symbol
_atom_site_fract_x
_atom_site_fract_y
_atom_site_fract_z
Ba1 Ba 0.0000 0.0000 0.0000
Mn1 Mn 0.0000 0.0000 0.5000
Pt1 Pt 0.2500 0.2500 0.7500
```

total DFT energy (no corrections) = -5.636 eV per atom
formation energy from the elements = 0.075 eV/atom


[10]
This record from the Alexandria database describes a geometry-optimized Ba3MnPt structure. The functional is PBE.

```
data_Ba3MnPt
_cell_length_a 6.1649
_cell_length_b 6.1649
_cell_length_c 6.1649
_cell_angle_alpha 90.00
_cell_angle_beta 90.00
_cell_angle_gamma 90.00
_symmetry_space_group_name_H-M 'P m -3 m'
_symmetry_Int_Tables_number 221
_symmetry_space_group_name_Hall '-P 4 2 3'
loop_
_atom_site_label
_atom_site_type_symbol
_atom_site_fract_x
_atom_site_fract_y
_atom_site_fract_z
Ba1 Ba 0.0000 0.0000 0.5000
Mn1 Mn 0.5000 0.5000 0.5000
Pt1 Pt 0.0000 0.0000 0.0000
```

total DFT energy (no corrections) = -4.151 eV per atom
formation energy from the elements = 0.045 eV/atom


[11]
This record from the Alexandria database describes a geometry-optimized Ba2MnPt structure. The functional is PBE.

```
data_Ba2MnPt
_cell_length_a 4.6265
_cell_length_b 4.6265
_cell_length_c 11.4107
_cell_angle_alpha 90.00
_cell_angle_beta 90.00
_cell_angle_gamma 90.00
_symmetry_space_group_name_H-M 'I -4 m 2'
_symmetry_Int_Tables_number 119
_symmetry_space_group_name_Hall 'I -4 -2'
loop_
_atom_site_label
_atom_site_type_symbol
_atom_site_fract_x
_atom_site_fract_y
_atom_site_fract_z
Ba1 Ba 0.0000 0.0000 0.0000
Ba2 Ba 0.0000 0.5000 0.2500
Mn1 Mn 0.0000 0.5000 0.7500
Pt1 Pt 0.0000 0.0000 0.5000
```

total DFT energy (no corrections) = -4.584 eV per atom
formation energy from the elements = 0.180 eV/atom


[12]
This record from the Alexandria database describes a geometry-optimized BaMnPt structure. The functional is PBE.

```
data_BaMnPt
_cell_length_a 7.2747
_cell_length_b 7.2747
_cell_length_c 7.2747
_cell_angle_alpha 90.00
_cell_angle_beta 90.00
_cell_angle_gamma 90.00
_symmetry_space_group_name_H-M 'F -4 3 m'
_symmetry_Int_Tables_number 216
_symmetry_space_group_name_Hall 'F -4 2 3'
loop_
_atom_site_label
_atom_site_type_symbol
_atom_site_fract_x
_atom_site_fract_y
_atom_site_fract_z
Ba1 Ba 0.0000 0.0000 0.0000
Mn1 Mn 0.2500 0.2500 0.7500
Pt1 Pt 0.2500 0.2500 0.2500
```

total DFT energy (no corrections) = -4.936 eV per atom
formation energy from the elements = 0.775 eV/atom


Among the records above, which one has the highest total DFT energy (no corrections)? Ba4MnPt